A plane-wave DFT calculation with PBE was carried out for V2CrAu after structural relaxation.

Values from the calculation:
- D(E_F): 9.8 states/eV per cell
- E_tot: -57.52 eV per cell
- E above lowest polymorph: 585 meV per atom
- Space group: No. 122
- ΔE_f: 0.59 eV/atom

a = 3.6982 Å, b = 3.6982 Å, c = 9.6485 Å
α = 78.95°, β = 78.95°, γ = 90.00°
Site moments in Bohr magnetons follow the coordinates.
Element x y z (fractional)
Cr (0.2500, 0.7500, 0.5000)  2.76
V (0.1425, 0.6250, 0.2500)  -0.54
Au (0.0000, 0.0000, 0.0000)  0.05
V (0.8750, 0.8575, 0.7500)  -0.54
Au (0.7500, 0.2500, 0.5000)  0.05
V (0.6075, 0.1250, 0.2500)  -0.54
V (0.3750, 0.3925, 0.7500)  -0.54
Cr (0.5000, 0.5000, 0.0000)  2.76

=====

A plane-wave DFT calculation with PBE was carried out for VCrAu2 after structural relaxation.

Values from the calculation:
- D(E_F): 5.8 states/eV per cell
- E_tot: -24.44 eV per cell
- Space group: No. 225
- ΔE_f: 0.22 eV/atom

a = 4.5439 Å, b = 4.5439 Å, c = 4.5439 Å
α = 60.00°, β = 60.00°, γ = 60.00°
Site moments in Bohr magnetons follow the coordinates.
Element x y z (fractional)
V (0.0000, 0.0000, 0.0000)  1.75
Au (0.7500, 0.7500, 0.7500)  0.07
Au (0.2500, 0.2500, 0.2500)  0.07
Cr (0.5000, 0.5000, 0.5000)  3.37

=====

A plane-wave DFT calculation with PBE was carried out for VCrAu3 after structural relaxation.

Values from the calculation:
- D(E_F): 4.7 states/eV per cell
- E_tot: -23.61 eV per cell
- E above lowest polymorph: 0 meV per atom
- Space group: No. 221
- ΔE_f: 0.99 eV/atom

a = 4.8687 Å, b = 4.8687 Å, c = 4.8687 Å
α = 90.00°, β = 90.00°, γ = 90.00°
Site moments in Bohr magnetons follow the coordinates.
Element x y z (fractional)
Au (0.5000, 0.0000, 0.0000)  0.02
Au (0.0000, 0.0000, 0.5000)  0.02
Cr (0.5000, 0.5000, 0.5000)  4.10
Au (0.0000, 0.5000, 0.0000)  0.02
V (0.0000, 0.0000, 0.0000)  0.31

=====

A plane-wave DFT calculation with PBE was carried out for V3Cr2Au after structural relaxation.

Values from the calculation:
- D(E_F): 7.6 states/eV per cell
- E_tot: -50.01 eV per cell
- Space group: No. 123
- ΔE_f: -0.02 eV/atom

a = 2.9522 Å, b = 2.9522 Å, c = 9.3630 Å
α = 90.00°, β = 90.00°, γ = 90.00°
Element x y z (fractional)
V (0.0000, 0.0000, 0.0000)
Cr (0.5000, 0.5000, 0.1576)
Cr (0.5000, 0.5000, 0.8424)
Au (0.5000, 0.5000, 0.5000)
V (0.0000, 0.0000, 0.2973)
V (0.0000, 0.0000, 0.7027)

=====

A plane-wave DFT calculation with PBE was carried out for VCrAu after structural relaxation.

Values from the calculation:
- D(E_F): 4.4 states/eV per cell
- E_tot: -43.84 eV per cell
- E above lowest polymorph: 0 meV per atom
- Space group: No. 99
- ΔE_f: 0.03 eV/atom

a = 2.9933 Å, b = 2.9926 Å, c = 9.7352 Å
α = 90.00°, β = 90.00°, γ = 90.00°
Site moments in Bohr magnetons follow the coordinates.
Element x y z (fractional)
V (0.5787, 0.0000, 0.3925)  -0.49
Cr (0.0787, 0.5000, 0.5340)  2.01
V (0.5786, 0.0000, 0.1059)  0.20
Au (0.5786, 0.0000, 0.7131)  0.05
Au (0.0787, 0.5000, 0.9262)  -0.01
Cr (0.0785, 0.5000, 0.2431)  0.22

=====

A plane-wave DFT calculation with PBE was carried out for V2CrAu after structural relaxation.

Values from the calculation:
- D(E_F): 5.4 states/eV per cell
- E_tot: -30.63 eV per cell
- E above lowest polymorph: 118 meV per atom
- Space group: No. 123
- ΔE_f: 0.13 eV/atom

a = 4.0044 Å, b = 3.7878 Å, c = 3.7878 Å
α = 90.00°, β = 90.00°, γ = 90.00°
Site moments in Bohr magnetons follow the coordinates.
Element x y z (fractional)
Cr (0.5000, 0.5000, 0.5000)  2.15
V (0.0000, 0.0000, 0.5000)  -0.32
V (0.0000, 0.5000, 0.0000)  -0.32
Au (0.5000, 0.0000, 0.0000)  0.02

=====

A plane-wave DFT calculation with PBE was carried out for VCrAu after structural relaxation.

Values from the calculation:
- D(E_F): 5.3 states/eV per cell
- E_tot: -43.20 eV per cell
- E above lowest polymorph: 107 meV per atom
- Space group: No. 8
- ΔE_f: 0.14 eV/atom

a = 6.4645 Å, b = 2.9963 Å, c = 4.6032 Å
α = 90.00°, β = 99.58°, γ = 90.00°
Element x y z (fractional)
Au (0.9693, 0.0000, 0.9351)
Cr (0.6073, 0.5000, 0.7127)
Cr (0.6073, 0.0000, 0.2127)
V (0.3365, 0.5000, 0.1501)
Au (0.9693, 0.5000, 0.4351)
V (0.3365, 0.0000, 0.6501)

=====

A plane-wave DFT calculation with PBE was carried out for VCrAu after structural relaxation.

Values from the calculation:
- D(E_F): 4.7 states/eV per cell
- E_tot: -43.01 eV per cell
- E above lowest polymorph: 138 meV per atom
- Space group: No. 8
- ΔE_f: 0.17 eV/atom

a = 2.7107 Å, b = 2.8294 Å, c = 11.6169 Å
α = 90.00°, β = 99.29°, γ = 90.00°
Element x y z (fractional)
Cr (0.7889, 0.0000, 0.6942)
Cr (0.7889, 0.5000, 0.1942)
V (0.5742, 0.0000, 0.3327)
Au (0.1887, 0.0000, 0.0166)
Au (0.1887, 0.5000, 0.5166)
V (0.5742, 0.5000, 0.8327)

=====

A plane-wave DFT calculation with PBE was carried out for VCr3Au after structural relaxation.

Values from the calculation:
- D(E_F): 11.4 states/eV per cell
- E_tot: -32.61 eV per cell
- E above lowest polymorph: 521 meV per atom
- Space group: No. 221
- ΔE_f: 1.73 eV/atom

a = 4.9672 Å, b = 4.9672 Å, c = 4.9672 Å
α = 90.00°, β = 90.00°, γ = 90.00°
Site moments in Bohr magnetons follow the coordinates.
Element x y z (fractional)
Cr (0.0000, 0.5000, 0.0000)  3.71
V (0.5000, 0.5000, 0.5000)  2.91
Cr (0.0000, 0.0000, 0.5000)  3.71
Au (0.0000, 0.0000, 0.0000)  0.21
Cr (0.5000, 0.0000, 0.0000)  3.71

=====

A plane-wave DFT calculation with PBE was carried out for VCr3Au after structural relaxation.

Values from the calculation:
- D(E_F): 5.6 states/eV per cell
- E_tot: -35.21 eV per cell
- E above lowest polymorph: 0 meV per atom
- Space group: No. 221
- ΔE_f: 1.21 eV/atom

a = 4.2302 Å, b = 4.2302 Å, c = 4.2302 Å
α = 90.00°, β = 90.00°, γ = 90.00°
Site moments in Bohr magnetons follow the coordinates.
Element x y z (fractional)
Cr (0.5000, 0.0000, 0.0000)  0.35
Cr (0.0000, 0.0000, 0.5000)  0.35
V (0.0000, 0.0000, 0.0000)  -0.12
Au (0.5000, 0.5000, 0.5000)  -0.01
Cr (0.0000, 0.5000, 0.0000)  0.35

=====

A plane-wave DFT calculation with PBE was carried out for VCrAu2 after structural relaxation.

Values from the calculation:
- D(E_F): 5.2 states/eV per cell
- E_tot: -47.05 eV per cell
- Space group: No. 122
- ΔE_f: 0.44 eV/atom

a = 7.3076 Å, b = 7.3076 Å, c = 5.8280 Å
α = 51.18°, β = 51.18°, γ = 90.00°
Site moments in Bohr magnetons follow the coordinates.
Element x y z (fractional)
Au (0.3750, 0.3762, 0.7500)  -0.01
Cr (0.7500, 0.2500, 0.5000)  3.35
Au (0.8750, 0.8738, 0.7500)  -0.01
V (0.5000, 0.5000, 0.0000)  -2.26
Cr (0.0000, 0.0000, 0.0000)  3.35
V (0.2500, 0.7500, 0.5000)  -2.26
Au (0.1262, 0.6250, 0.2500)  -0.01
Au (0.6238, 0.1250, 0.2500)  -0.01

=====

A plane-wave DFT calculation with PBE was carried out for V3CrAu after structural relaxation.

Values from the calculation:
- D(E_F): 7.7 states/eV per cell
- E_tot: -36.31 eV per cell
- Space group: No. 221
- ΔE_f: 0.79 eV/atom

a = 4.2993 Å, b = 4.2993 Å, c = 4.2993 Å
α = 90.00°, β = 90.00°, γ = 90.00°
Element x y z (fractional)
V (0.0000, 0.0000, 0.5000)
V (0.5000, 0.0000, 0.0000)
Au (0.5000, 0.5000, 0.5000)
V (0.0000, 0.5000, 0.0000)
Cr (0.0000, 0.0000, 0.0000)